[1]
4
Lattice="4.4975 0.0000 0.0000 0.0000 4.4631 0.0000 0.0000 0.0000 6.4836" Properties=species:S:1:pos:R:3 comment="PBE-GGA AuCl, relaxed" magnetic_moment_mub_per_fu=0.000 spacegroup=Pmma energy_ev_per_atom=-2.60 volume_a3_per_atom=32.5 raw_formation_energy_ev_per_atom=-0.04 pbc="T T T"
Au 1.1244 0.0000 0.9326
Au 3.3731 0.0000 5.5511
Cl 1.1244 2.2316 1.6744
Cl 3.3731 2.2316 4.8092

=====

[2]
4
Lattice="3.5438 0.0000 0.0000 0.0000 3.4498 0.0000 -0.0257 0.0000 6.9840" Properties=species:S:1:pos:R:3 comment="PBE-GGA Au3Cl, relaxed" magnetic_moment_mub_per_fu=0.000 spacegroup=P2/m energy_ev_per_atom=-2.86 volume_a3_per_atom=21.3 raw_formation_energy_ev_per_atom=0.06 pbc="T T T"
Au 0.0000 0.0000 0.0000
Au 1.7459 1.7249 5.5741
Au 1.7722 1.7249 1.4099
Cl 1.7590 0.0000 3.4920

=====

[3]
12
Lattice="11.2613 0.0000 0.0000 -5.6307 9.7526 0.0000 0.0000 0.0000 3.4802" Properties=species:S:1:pos:R:3 comment="PBE-GGA AuCl, relaxed" magnetic_moment_mub_per_fu=0.000 spacegroup=P6_3/m energy_ev_per_atom=-2.49 volume_a3_per_atom=31.9 raw_formation_energy_ev_per_atom=0.07 pbc="T T T"
Au -3.1618 7.0093 0.8700
Au 1.1413 3.5098 0.8700
Au 3.6102 0.7665 2.6101
Au 2.0204 8.9861 0.8700
Au 4.4893 6.2428 2.6101
Au 8.7924 2.7433 2.6101
Cl -1.1065 4.1634 0.8700
Cl -1.4718 8.6292 0.8700
Cl 3.0523 3.0400 2.6101
Cl 2.5783 6.7126 0.8700
Cl 7.1024 1.1234 2.6101
Cl 6.7372 5.5892 2.6101

=====

[4]
9
Lattice="-5.3770 5.3770 1.6368 5.3770 -5.3770 1.6368 5.3770 5.3770 -1.6368" Properties=species:S:1:pos:R:3 comment="PBE-GGA Au5Cl4, relaxed" magnetic_moment_mub_per_fu=0.000 spacegroup=I4/mmm energy_ev_per_atom=-2.40 volume_a3_per_atom=21.0 raw_formation_energy_ev_per_atom=0.24 pbc="T T T"
Au 0.0000 0.0000 0.0000
Au 3.5402 3.5402 0.0000
Au 1.8368 -1.8368 1.6368
Au -1.8368 1.8368 1.6368
Au 1.8368 1.8368 1.6368
Cl 3.1309 0.0000 0.0000
Cl 7.6231 0.0000 0.0000
Cl 0.0000 3.1309 0.0000
Cl 0.0000 7.6231 0.0000

=====

[5]
15
Lattice="7.6851 0.0000 0.0000 -0.7462 8.1074 0.0000 -2.0819 -3.9939 8.2692" Properties=species:S:1:pos:R:3 comment="PBE-GGA Au2Cl13, relaxed" magnetic_moment_mub_per_fu=0.705 spacegroup=P-1 energy_ev_per_atom=-2.13 volume_a3_per_atom=34.3 raw_formation_energy_ev_per_atom=-0.09 pbc="T T T"
Au 0.5178 1.3619 2.4148
Au 4.3392 2.7517 5.8543
Cl -0.3731 4.0537 0.0000
Cl -0.2455 3.5836 2.2429
Cl -1.1727 3.4856 5.7021
Cl 1.2611 -0.7923 2.6892
Cl 1.1544 -1.1565 5.7143
Cl 0.9829 -1.4958 7.6996
Cl 2.7379 2.0311 2.1812
Cl 2.1192 2.0824 6.0880
Cl 3.8741 5.6093 0.5695
Cl 3.7026 5.2701 2.5549
Cl 3.5960 4.9059 5.5800
Cl 6.0297 0.6280 2.5670
Cl 5.1025 0.5300 6.0263

=====

[6]
16
Lattice="10.8161 0.0000 0.0000 0.0000 10.8161 0.0000 0.0000 0.0000 3.7639" Properties=species:S:1:pos:R:3 comment="PBE-GGA AuCl, relaxed" magnetic_moment_mub_per_fu=0.000 spacegroup=P4/m energy_ev_per_atom=-2.56 volume_a3_per_atom=27.5 raw_formation_energy_ev_per_atom=0.01 pbc="T T T"
Au 0.9176 4.1872 0.0000
Au 1.3751 6.4018 1.8820
Au 4.1872 9.8985 0.0000
Au 4.4143 1.3751 1.8820
Au 6.4018 9.4410 1.8820
Au 6.6289 0.9176 0.0000
Au 9.4410 4.4143 1.8820
Au 9.8985 6.6289 0.0000
Cl 0.9266 8.2665 0.0000
Cl 2.5496 0.9266 0.0000
Cl 2.8591 4.4583 1.8820
Cl 4.4583 7.9570 1.8820
Cl 6.3578 2.8591 1.8820
Cl 7.9570 6.3578 1.8820
Cl 8.2665 9.8895 0.0000
Cl 9.8895 2.5496 0.0000